No. 1
SrRe2Pt | GGA-PBE | optimized geometry

Lattice parameters (Å, degrees): 4.695 4.695 9.816 76.16 76.16 90.00
Positions (direct):
Re  0.830  0.125  0.250
Re  0.920  0.625  0.250
Re  0.375  0.170  0.750
Re  0.875  0.080  0.750
Pt  0.000  0.000  0.000
Pt  0.750  0.250  0.500
Sr  0.500  0.500  0.000
Sr  0.250  0.750  0.500

spin magnetization	0.0	μB/cell
formation energy from the elements	3.11	eV/f.u.
ΔE to the lowest computed polymorph	12.34	kcal/mol of atoms



No. 2
TaIr4W | GGA-PBE | optimized geometry

Lattice parameters (Å, degrees): 5.132 5.132 5.132 60.00 60.00 60.00
Positions (direct):
Ta  0.250  0.250  0.250
Ir  0.625  0.625  0.124
Ir  0.625  0.124  0.625
Ir  0.625  0.625  0.625
Ir  0.124  0.625  0.625
W  0.000  0.000  0.000

spin magnetization	0.0	μB/cell
formation energy from the elements	0.22	eV/f.u.



No. 3
Nb2SeN | GGA-PBE | optimized geometry

Lattice parameters (Å, degrees): 5.126 5.126 6.703 67.52 67.52 90.00
Positions (direct):
Nb  0.526  0.125  0.250
Nb  0.224  0.625  0.250
Nb  0.375  0.474  0.750
Nb  0.875  0.776  0.750
Se  0.000  0.000  0.000
Se  0.750  0.250  0.500
N  0.500  0.500  0.000
N  0.250  0.750  0.500

spin magnetization	0.0	μB/cell
ΔE to the lowest computed polymorph	0.00	kcal/mol of atoms



No. 4
SmBiAu2O8 | GGA-PBE | optimized geometry

Lattice parameters (Å, degrees): 5.557 5.557 6.539 115.14 115.14 90.00
Positions (direct):
Sm  0.000  0.000  0.000
Bi  0.750  0.250  0.500
Au  0.500  0.500  0.000
Au  0.250  0.750  0.500
O  0.655  0.874  0.082
O  0.427  0.208  0.082
O  0.616  0.646  0.584
O  0.969  0.938  0.584
O  0.062  0.384  0.416
O  0.354  0.031  0.416
O  0.126  0.573  0.918
O  0.792  0.345  0.918

spin magnetization	2.1	μB/cell
final energy	-63.33	eV/cell



No. 5
TiBF2 | GGA-PBE | optimized geometry

Lattice parameters (Å, degrees): 3.422 3.422 7.593 76.98 76.98 90.00
Positions (direct):
B  0.500  0.500  0.000
B  0.250  0.750  0.500
F  0.651  0.125  0.250
F  0.099  0.625  0.250
F  0.375  0.349  0.750
F  0.875  0.901  0.750
Ti  0.000  0.000  0.000
Ti  0.750  0.250  0.500

spin magnetization	1.3	μB/cell
ΔE to the lowest computed polymorph	0.00	kcal/mol of atoms



No. 6
ScTaMo | GGA-PBE | optimized geometry

Lattice parameters (Å, degrees): 7.523 7.523 7.523 158.83 158.83 30.11
Positions (direct):
Mo  0.001  0.001  0.000
Sc  0.337  0.337  0.000
Ta  0.662  0.662  0.000

spin magnetization	0.0	μB/cell
formation energy from the elements	0.85	eV/f.u.
ΔE to the lowest computed polymorph	5.84	kcal/mol of atoms



No. 7
NbTl2Se | GGA-PBE | optimized geometry

Lattice parameters (Å, degrees): 5.160 5.160 5.160 60.00 60.00 60.00
Positions (direct):
Tl  0.250  0.250  0.250
Tl  0.750  0.750  0.750
Nb  0.500  0.500  0.500
Se  0.000  0.000  0.000

spin magnetization	2.3	μB/cell
ΔE to the lowest computed polymorph	4.09	kcal/mol of atoms



No. 8
NpTePdSe | GGA-PBE | optimized geometry

Lattice parameters (Å, degrees): 4.380 4.380 9.254 90.00 90.00 90.00
Positions (direct):
Np  0.500  0.000  0.712
Np  0.000  0.500  0.288
Te  0.000  0.500  0.818
Te  0.500  0.000  0.182
Pd  0.500  0.500  0.000
Pd  0.000  0.000  0.000
Se  0.000  0.000  0.500
Se  0.500  0.500  0.500

spin magnetization	6.8	μB/cell
final energy	-55.01	eV/cell



No. 9
NbN2O2 | GGA-PBE | optimized geometry

Lattice parameters (Å, degrees): 3.920 3.920 4.425 90.00 90.00 90.00
Positions (direct):
Nb  0.000  0.000  0.000
O  0.000  0.500  0.000
O  0.500  0.000  0.000
N  0.500  0.500  0.500
N  0.000  0.000  0.500

spin magnetization	1.0	μB/cell
ΔE to the lowest computed polymorph	10.23	kcal/mol of atoms



No. 10
AcPmPr5Ho2 | GGA-PBE | optimized geometry

Lattice parameters (Å, degrees): 5.644 12.575 9.607 90.00 90.00 102.97
Positions (direct):
Ac  0.603  0.205  0.925
Ac  0.397  0.795  0.425
Pm  0.766  0.531  0.533
Pm  0.234  0.469  0.033
Pr  0.395  0.790  0.033
Pr  0.741  0.481  0.856
Pr  0.475  0.951  0.754
Pr  0.312  0.623  0.726
Pr  0.008  0.016  0.535
Pr  0.605  0.210  0.533
Pr  0.259  0.519  0.356
Pr  0.525  0.049  0.254
Pr  0.688  0.377  0.226
Pr  0.992  0.984  0.035
Ho  0.888  0.776  0.790
Ho  0.173  0.346  0.671
Ho  0.112  0.224  0.290
Ho  0.827  0.654  0.171

spin magnetization	0.0	μB/cell
formation energy from the elements	1.28	eV/f.u.



No. 11
HRuS3 | GGA-PBE | optimized geometry

Lattice parameters (Å, degrees): 4.623 4.623 4.623 90.00 90.00 90.00
Positions (direct):
Ru  0.000  0.000  0.000
S  0.000  0.500  0.000
S  0.000  0.000  0.500
S  0.500  0.000  0.000
H  0.500  0.500  0.500

spin magnetization	0.3	μB/cell
ΔE to the lowest computed polymorph	0.00	kcal/mol of atoms



No. 12
Ac2NdEr | GGA-PBE | optimized geometry

Lattice parameters (Å, degrees): 3.821 3.821 12.388 81.13 81.13 60.00
Positions (direct):
Ac  0.082  0.082  0.755
Ac  0.252  0.252  0.245
Nd  0.499  0.499  0.503
Er  0.667  0.667  0.998

spin magnetization	0.0	μB/cell
formation energy from the elements	0.24	eV/f.u.
ΔE to the lowest computed polymorph	0.49	kcal/mol of atoms



No. 13
YMnOs2 | GGA-PBE | optimized geometry

Lattice parameters (Å, degrees): 5.523 5.523 5.523 149.62 129.81 59.81
Positions (direct):
Mn  0.250  0.750  0.500
Os  0.031  0.031  0.000
Os  0.469  0.469  0.000
Y  0.750  0.250  0.500

spin magnetization	2.0	μB/cell
formation energy from the elements	1.13	eV/f.u.
ΔE to the lowest computed polymorph	3.35	kcal/mol of atoms



No. 14
Pm5Sn2Ge4 | GGA-PBE | optimized geometry

Lattice parameters (Å, degrees): 4.220 6.433 11.725 80.92 100.37 90.00
Positions (direct):
Pm  0.109  0.589  0.218
Pm  0.891  0.411  0.782
Pm  0.275  0.224  0.549
Pm  0.500  0.000  0.000
Pm  0.725  0.776  0.451
Sn  0.866  0.930  0.732
Sn  0.134  0.070  0.268
Ge  0.683  0.337  0.367
Ge  0.980  0.693  0.960
Ge  0.317  0.663  0.633
Ge  0.020  0.307  0.040

spin magnetization	0.0	μB/cell
formation energy from the elements	-5.36	eV/f.u.



No. 15
Rb2Pb2Cl5 | GGA-PBE | optimized geometry

Lattice parameters (Å, degrees): 7.713 7.469 12.460 107.44 108.03 90.00
Positions (direct):
Rb  0.079  0.701  0.285
Rb  0.921  0.416  0.715
Rb  0.706  0.201  0.285
Rb  0.294  0.916  0.715
Pb  0.000  0.012  0.000
Pb  0.500  0.512  0.000
Pb  0.417  0.237  0.500
Pb  0.583  0.737  0.500
Cl  0.236  0.741  0.911
Cl  0.764  0.829  0.089
Cl  0.176  0.241  0.911
Cl  0.824  0.329  0.089
Cl  0.259  0.082  0.243
Cl  0.741  0.839  0.757
Cl  0.484  0.582  0.243
Cl  0.516  0.339  0.757
Cl  0.144  0.479  0.500
Cl  0.856  0.979  0.500

spin magnetization	0.0	μB/cell
final energy	-61.42	eV/cell



No. 16
TaAuN2F | GGA-PBE | optimized geometry

Lattice parameters (Å, degrees): 4.086 4.086 4.036 90.00 90.00 90.00
Positions (direct):
N  0.000  0.500  0.000
N  0.500  0.000  0.000
F  0.000  0.000  0.500
Au  0.000  0.000  0.000
Ta  0.500  0.500  0.500

spin magnetization	1.2	μB/cell
ΔE to the lowest computed polymorph	40.57	kcal/mol of atoms



No. 17
Na3Sm2YO6 | GGA-PBE | optimized geometry

Lattice parameters (Å, degrees): 6.063 6.063 5.956 99.76 99.76 120.00
Positions (direct):
Na  0.163  0.837  0.500
Na  0.837  0.163  0.500
Na  0.500  0.500  0.500
Sm  0.333  0.667  0.000
Sm  0.667  0.333  0.000
Y  0.000  0.000  0.000
O  0.929  0.602  0.786
O  0.744  0.744  0.213
O  0.071  0.398  0.214
O  0.602  0.929  0.786
O  0.256  0.256  0.787
O  0.398  0.071  0.214

spin magnetization	0.0	μB/cell
final energy	-82.11	eV/cell



No. 18
NaCdSn2Ru | GGA-PBE | optimized geometry

Lattice parameters (Å, degrees): 5.107 5.107 5.338 90.00 90.00 90.00
Positions (direct):
Ru  0.000  0.000  0.000
Na  0.500  0.500  0.500
Sn  0.000  0.500  0.000
Sn  0.500  0.000  0.000
Cd  0.000  0.000  0.500

spin magnetization	0.0	μB/cell
formation energy from the elements	0.08	eV/f.u.



No. 19
Zr | GGA-PBE | optimized geometry

Lattice parameters (Å, degrees): 9.559 9.559 4.372 90.00 90.00 90.00
Positions (direct):
Zr  0.170  0.170  0.000
Zr  0.170  0.830  0.000
Zr  0.830  0.170  0.000
Zr  0.830  0.830  0.000
Zr  0.670  0.670  0.500
Zr  0.670  0.330  0.500
Zr  0.330  0.670  0.500
Zr  0.330  0.330  0.500
Zr  0.832  0.500  0.000
Zr  0.168  0.500  0.000
Zr  0.500  0.168  0.000
Zr  0.500  0.832  0.000
Zr  0.332  0.000  0.500
Zr  0.668  0.000  0.500
Zr  0.000  0.668  0.500
Zr  0.000  0.332  0.500

spin magnetization	0.0	μB/cell
formation energy from the elements	0.27	eV/f.u.
ΔE to the lowest computed polymorph	6.14	kcal/mol of atoms



No. 20
LiAl6Ni2 | GGA-PBE | optimized geometry

Lattice parameters (Å, degrees): 7.795 7.040 7.040 64.15 56.38 56.38
Positions (direct):
Li  0.500  0.500  0.500
Li  0.000  0.000  0.000
Al  0.293  0.191  0.809
Al  0.707  0.809  0.191
Al  0.707  0.191  0.809
Al  0.293  0.809  0.191
Al  0.748  0.446  0.057
Al  0.252  0.554  0.943
Al  0.748  0.057  0.446
Al  0.252  0.943  0.554
Al  0.959  0.338  0.338
Al  0.041  0.662  0.662
Al  0.364  0.338  0.338
Al  0.636  0.662  0.662
Ni  0.362  0.138  0.138
Ni  0.638  0.862  0.862
Ni  0.000  0.320  0.680
Ni  0.000  0.680  0.320

spin magnetization	0.0	μB/cell
formation energy from the elements	-3.06	eV/f.u.